The following is a PBE calculation of Ho4InAg2Ir after structural relaxation, from Alexandria.

Unit cell a=5.0904 b=5.0904 c=24.8629 alpha=90.00 beta=90.00 gamma=120.00
Space group R-3m (No. 166, hexagonal axes)
Symmetry-distinct sites (fractional):
Ho: 0.0000 0.0000 0.1142 x6
Ho: 0.0000 0.0000 0.3673 x6
In: 0.0000 0.0000 0.5000 x3
Ag: 0.0000 0.0000 0.2401 x6
Ir: 0.0000 0.0000 0.0000 x3

Properties
Electronic total energy in eV for the cell shown: -120.08
Density in g/cm3: 10.558
Magnetization in μB/cell: 0.00